Np3Ru5N12 | PBE-GGA | relaxed

Cell: 10.7963 10.7963 10.7963 Å, 109.47 109.47 109.47°
Atoms (fractional coordinates):
Np  0.7500  0.3750  0.1250
Np  0.8750  0.7500  0.1250
Np  0.3750  0.7500  0.6250
Np  0.2500  0.1250  0.3750
Np  0.8750  0.1250  0.2500
Np  0.3750  0.6250  0.2500
Np  0.6250  0.3750  0.7500
Np  0.1250  0.8750  0.7500
Np  0.7500  0.8750  0.6250
Np  0.6250  0.2500  0.3750
Np  0.1250  0.2500  0.8750
Np  0.2500  0.6250  0.8750
Ru  0.1250  0.3750  0.2500
Ru  0.0000  0.5000  0.0000
Ru  0.0000  0.0000  0.0000
Ru  0.3750  0.2500  0.1250
Ru  0.5000  0.0000  0.5000
Ru  0.5000  0.5000  0.0000
Ru  0.1250  0.7500  0.3750
Ru  0.7500  0.1250  0.8750
Ru  0.7500  0.6250  0.3750
Ru  0.3750  0.1250  0.7500
Ru  0.6250  0.8750  0.2500
Ru  0.5000  0.5000  0.5000
Ru  0.5000  0.0000  0.0000
Ru  0.0000  0.0000  0.5000
Ru  0.2500  0.3750  0.6250
Ru  0.2500  0.8750  0.1250
Ru  0.0000  0.5000  0.5000
Ru  0.8750  0.2500  0.6250
Ru  0.6250  0.7500  0.8750
Ru  0.8750  0.6250  0.7500
N  0.7106  0.1276  0.0321
N  0.3215  0.5321  0.4045
N  0.9679  0.3724  0.2894
N  0.5321  0.2106  0.1276
N  0.5830  0.7106  0.6785
N  0.9679  0.5955  0.1785
N  0.3215  0.7894  0.4170
N  0.0955  0.9170  0.1276
N  0.5955  0.9679  0.6785
N  0.7106  0.5830  0.1785
N  0.7894  0.4679  0.3724
N  0.8215  0.9045  0.0321
N  0.1276  0.7106  0.5321
N  0.3724  0.4045  0.0830
N  0.0830  0.9045  0.3724
N  0.4170  0.1276  0.5955
N  0.0830  0.1785  0.2106
N  0.4679  0.6785  0.0955
N  0.8215  0.9170  0.2894
N  0.1276  0.4170  0.0955
N  0.3724  0.9679  0.7894
N  0.5955  0.6276  0.4170
N  0.9045  0.8215  0.5321
N  0.7894  0.3215  0.9170
N  0.4045  0.3724  0.5830
N  0.0955  0.1785  0.4679
N  0.2106  0.6785  0.0830
N  0.1785  0.0830  0.7106
N  0.6276  0.0321  0.2106
N  0.8724  0.5830  0.9045
N  0.5321  0.3215  0.9045
N  0.5830  0.8724  0.4045
N  0.9170  0.8215  0.7894
N  0.9170  0.0955  0.6276
N  0.8724  0.2894  0.4679
N  0.1785  0.0955  0.9679
N  0.6276  0.5955  0.9170
N  0.4045  0.0321  0.3215
N  0.2894  0.4170  0.8215
N  0.2106  0.5321  0.6276
N  0.9045  0.0830  0.8724
N  0.6785  0.2106  0.5830
N  0.4679  0.7894  0.8724
N  0.0321  0.4045  0.8215
N  0.4170  0.2894  0.3215
N  0.0321  0.6276  0.7106
N  0.6785  0.4679  0.5955
N  0.2894  0.8724  0.9679

Results
**Space group**: Ia-3d
**DFT total energy**: -750.34 eV/cell
**Total magnetization**: 0.405 μB/atom

=====

PuAl12Ni6 | PBE-GGA | relaxed

Cell: 6.9140 6.9140 6.9140 Å, 105.01 105.01 105.01°
Atoms (fractional coordinates):
Pu  0.0000  0.0000  0.0000
Al  0.8812  0.1188  0.5000
Al  0.8461  0.5874  0.5874
Al  0.5874  0.5874  0.8461
Al  0.4126  0.1539  0.4126
Al  0.4126  0.4126  0.1539
Al  0.1539  0.4126  0.4126
Al  0.1188  0.5000  0.8812
Al  0.5000  0.8812  0.1188
Al  0.1188  0.8812  0.5000
Al  0.8812  0.5000  0.1188
Al  0.5000  0.1188  0.8812
Al  0.5874  0.8461  0.5874
Ni  0.6978  0.2738  0.2738
Ni  0.2738  0.2738  0.6978
Ni  0.2738  0.6978  0.2738
Ni  0.7262  0.7262  0.3022
Ni  0.3022  0.7262  0.7262
Ni  0.7262  0.3022  0.7262

Results
**E_form**: -8.3 eV/f.u.
**Space group**: R-3m
**DFT total energy**: -102.20 eV/cell
**Total magnetization**: 0.308 μB/atom

=====

LiTiAgPb | PBE-GGA | relaxed

Cell: 4.7418 4.7418 4.7418 Å, 60.00 60.00 60.00°
Atoms (fractional coordinates):
Pb  0.0000  0.0000  0.0000
Li  0.7500  0.7500  0.7500
Ag  0.5000  0.5000  0.5000
Ti  0.2500  0.2500  0.2500

Results
**E_form**: -0.1 eV/f.u.
**Space group**: F-43m
**DFT total energy**: -16.52 eV/cell
**Total magnetization**: 0.000 μB/atom

=====

TlRuW2 | PBE-GGA | relaxed

Cell: 2.8413 2.8413 9.5214 Å, 90.00 90.00 115.07°
Atoms (fractional coordinates):
Ru  0.5000  0.5000  0.2500
Tl  0.5000  0.5000  0.7500
W  0.0000  0.0000  0.0221
W  0.0000  0.0000  0.4779

Results
**E_form**: 2.9 eV/f.u.
**Space group**: Cmmm
**DFT total energy**: -34.61 eV/cell
**Total magnetization**: 0.000 μB/atom

=====

PuSn2Rh | PBE-GGA | relaxed

Cell: 3.3331 3.3331 7.6769 Å, 90.00 90.00 90.00°
Atoms (fractional coordinates):
Rh  0.5000  0.5000  0.0000
Sn  0.0000  0.0000  0.7944
Sn  0.0000  0.0000  0.2056
Pu  0.5000  0.5000  0.5000

Results
**E_form**: -1.7 eV/f.u.
**Space group**: P4/mmm
**DFT total energy**: -31.37 eV/cell
**Total magnetization**: 1.411 μB/atom

=====

LiTl3Te6As2 | PBE-GGA | relaxed

Cell: 7.4885 7.4885 7.7387 Å, 98.96 98.96 119.73°
Atoms (fractional coordinates):
Li  0.0000  0.0000  0.0000
Tl  0.1713  0.8287  0.5000
Tl  0.8287  0.1713  0.5000
Tl  0.5000  0.5000  0.5000
Te  0.9295  0.5951  0.7877
Te  0.7325  0.7325  0.2087
Te  0.0705  0.4049  0.2123
Te  0.5951  0.9295  0.7877
Te  0.2675  0.2675  0.7913
Te  0.4049  0.0705  0.2123
As  0.3369  0.6631  0.0000
As  0.6631  0.3369  0.0000

Results
**Space group**: C2/m
**DFT total energy**: -39.59 eV/cell
**Total magnetization**: 0.000 μB/atom